A plane-wave DFT calculation with GGA+U was carried out for an optimized crystal structure of Cs2MgVO4.

Magnetization   0.125 μB/atom
E_tot   -91.752 eV for the cell shown
Density   3.6 g/cm3

a = 12.6607 Å, b = 11.2228 Å, c = 6.9544 Å
α = 84.85°, β = 61.99°, γ = 33.17°
Last column: nearest neighbours and their distance in Å.
Fractional positions:
Cs: 0.0508 0.0508 0.6992  8 O 3.27-3.57
Cs: 0.3008 0.3008 0.9492  8 O 3.27-3.57
Cs: 0.6992 0.6992 0.0508  8 O 3.27-3.57
Cs: 0.9492 0.9492 0.3008  8 O 3.27-3.57
Mg: 0.1250 0.1250 0.1250  4 O 1.98
Mg: 0.8750 0.8750 0.8750  4 O 1.98
V: 0.3750 0.3750 0.3750  4 O 1.84
V: 0.6250 0.6250 0.6250  4 O 1.84
O: 0.0214 0.6508 0.5613  1 V 1.84, 1 Mg 1.98
O: 0.2665 0.5613 0.6508  1 V 1.84, 1 Mg 1.98
O: 0.3492 0.9786 0.7335  1 V 1.84, 1 Mg 1.98
O: 0.4387 0.7335 0.9786  1 V 1.84, 1 Mg 1.98
O: 0.5613 0.2665 0.0214  1 V 1.84, 1 Mg 1.98
O: 0.6508 0.0214 0.2665  1 V 1.84, 1 Mg 1.98
O: 0.7335 0.4387 0.3492  1 V 1.84, 1 Mg 1.98
O: 0.9786 0.3492 0.4387  1 V 1.84, 1 Mg 1.98